[1]
Below is a relaxed structure of NiPtCl2, with properties calculated at the PBE-GGA level.

Output
- VASP energy: -0.1454 hartree per atom
- Energy relative to the elements, uncorrected: -0.0789 eV/atom
- ΔE to the lowest computed polymorph: 141 meV/atom

Cell: 6.427 6.427 4.642 Å, 81.83 81.83 28.58°
Sites, in units of the cell vectors:
Ni1 0.250 0.250 0.250
Pt1 0.750 0.750 0.750
Cl1 0.880 0.880 0.055
Cl2 0.620 0.620 0.445

---

[2]
Below is a relaxed structure of Rb2CaH2, with properties calculated at the PBE-GGA level.

Output
- VASP energy: -0.0701 hartree per atom

Cell: 5.229 5.229 7.729 Å, 70.23 70.23 90.00°
Sites, in units of the cell vectors:
H1 0.750 0.250 0.500
H2 0.250 0.750 0.500
Ca1 0.000 0.000 0.000
Rb1 0.323 0.323 0.354
Rb2 0.677 0.677 0.646

---

[3]
Below is a relaxed structure of V4Ge2C, with properties calculated at the PBE-GGA level.

Output
- VASP energy: -0.2965 hartree per atom
- Formation energy from the elements: -220 meV per atom
- ΔE to the lowest computed polymorph: 202 meV/atom

Cell: 3.890 3.890 7.008 Å, 73.88 73.88 90.00°
Sites, in units of the cell vectors:
Ge1 0.355 0.355 0.289
Ge2 0.645 0.645 0.711
C1 0.000 0.000 0.000
V1 0.158 0.158 0.683
V2 0.842 0.842 0.317
V3 0.000 0.500 0.000
V4 0.500 0.000 0.000

---

no.,density (g/cm³)
1,5.94
2,1.91
3,6.15